# 1
A plane-wave DFT calculation with PBE was carried out for an optimized crystal structure of CeAlZnGa2.

a = 6.244 Å, b = 6.244 Å, c = 6.244 Å
α = 140.66°, β = 140.66°, γ = 56.85°
Element x y z (fractional)
1 Ce 0.000 0.000 0.000
2 Al 0.750 0.250 0.500
3 Zn 0.250 0.750 0.500
4 Ga 0.387 0.387 0.000
5 Ga 0.613 0.613 0.000

Formation energy from the elements in meV/atom: -431
Total magnetic moment in μB per formula unit: 0.98
Calculated total energy in eV per atom: -3.83

---

# 2
A plane-wave DFT calculation with PBE was carried out for an optimized crystal structure of Ce2Al3Zn4Ga.

a = 4.262 Å, b = 4.262 Å, c = 10.623 Å
α = 90.00°, β = 90.00°, γ = 90.00°
Element x y z (fractional)
1 Ce 0.000 0.500 0.248
2 Ce 0.500 0.000 0.752
3 Al 0.000 0.500 0.867
4 Al 0.500 0.000 0.133
5 Al 0.500 0.500 0.500
6 Zn 0.000 0.000 0.000
7 Zn 0.000 0.500 0.636
8 Zn 0.500 0.000 0.364
9 Zn 0.500 0.500 0.000
10 Ga 0.000 0.000 0.500

Formation energy from the elements in meV/atom: -362
Total magnetic moment in μB per formula unit: 1.44
Calculated total energy in eV per atom: -3.48

---

# 3
A plane-wave DFT calculation with PBE was carried out for an optimized crystal structure of CeAlZn2Ga.

a = 6.145 Å, b = 6.145 Å, c = 6.145 Å
α = 139.82°, β = 139.82°, γ = 58.12°
Element x y z (fractional)
1 Ce 0.000 0.000 0.000
2 Al 0.750 0.250 0.500
3 Zn 0.387 0.387 0.000
4 Zn 0.613 0.613 0.000
5 Ga 0.250 0.750 0.500

Formation energy from the elements in meV/atom: -386
Total magnetic moment in μB per formula unit: 0.70
Calculated total energy in eV per atom: -3.44

---

# 4
A plane-wave DFT calculation with PBE was carried out for an optimized crystal structure of CeZrAlGa.

a = 4.977 Å, b = 4.977 Å, c = 4.977 Å
α = 60.00°, β = 60.00°, γ = 60.00°
Element x y z (fractional)
1 Ce 0.000 0.000 0.000
2 Zr 0.500 0.500 0.500
3 Al 0.750 0.750 0.750
4 Ga 0.250 0.250 0.250

Formation energy from the elements in meV/atom: -319
Total magnetic moment in μB per formula unit: 1.66
Calculated total energy in eV per atom: -5.63

---

# 5
A plane-wave DFT calculation with PBE was carried out for an optimized crystal structure of CeGdAl.

a = 7.455 Å, b = 7.455 Å, c = 7.455 Å
α = 154.03°, β = 154.03°, γ = 37.05°
Element x y z (fractional)
1 Ce 0.000 0.000 0.000
2 Gd 0.704 0.704 0.000
3 Al 0.351 0.351 0.000

Distance to the lowest polymorph of the same formula in eV per atom: 0.000
Formation energy from the elements in meV/atom: -164
Total magnetic moment in μB per formula unit: 8.19
Calculated total energy in eV per atom: -8.08

---

# 6
A plane-wave DFT calculation with PBE was carried out for an optimized crystal structure of CeGdAl2.

a = 4.724 Å, b = 4.724 Å, c = 4.316 Å
α = 90.00°, β = 90.00°, γ = 90.00°
Element x y z (fractional)
1 Ce 0.000 0.000 0.000
2 Gd 0.500 0.500 0.000
3 Al 0.000 0.500 0.500
4 Al 0.500 0.000 0.500

Distance to the lowest polymorph of the same formula in eV per atom: 0.024
Formation energy from the elements in meV/atom: -303
Total magnetic moment in μB per formula unit: 7.90
Calculated total energy in eV per atom: -7.18

---

# 7
A plane-wave DFT calculation with PBE was carried out for an optimized crystal structure of Ce2GdAl.

a = 4.592 Å, b = 4.592 Å, c = 4.944 Å
α = 90.00°, β = 90.00°, γ = 90.00°
Element x y z (fractional)
1 Ce 0.000 0.500 0.000
2 Ce 0.500 0.000 0.000
3 Gd 0.000 0.000 0.500
4 Al 0.500 0.500 0.500

Distance to the lowest polymorph of the same formula in eV per atom: 0.000
Formation energy from the elements in meV/atom: -138
Total magnetic moment in μB per formula unit: 5.97
Calculated total energy in eV per atom: -7.56

---

# 8
A plane-wave DFT calculation with PBE was carried out for an optimized crystal structure of Ce2GdAl.

a = 3.984 Å, b = 3.984 Å, c = 7.041 Å
α = 90.00°, β = 90.00°, γ = 90.00°
Element x y z (fractional)
1 Ce 0.000 0.000 0.199
2 Ce 0.000 0.000 0.801
3 Gd 0.500 0.500 0.500
4 Al 0.500 0.500 0.000

Distance to the lowest polymorph of the same formula in eV per atom: 0.075
Formation energy from the elements in meV/atom: -63
Total magnetic moment in μB per formula unit: 9.44
Calculated total energy in eV per atom: -7.49

---

# 9
A plane-wave DFT calculation with PBE was carried out for an optimized crystal structure of Ce2GdAl.

a = 5.359 Å, b = 5.359 Å, c = 5.359 Å
α = 60.00°, β = 60.00°, γ = 60.00°
Element x y z (fractional)
1 Ce 0.250 0.250 0.250
2 Ce 0.750 0.750 0.750
3 Gd 0.000 0.000 0.000
4 Al 0.500 0.500 0.500

Distance to the lowest polymorph of the same formula in eV per atom: 0.141
Formation energy from the elements in meV/atom: 3
Total magnetic moment in μB per formula unit: 9.31
Calculated total energy in eV per atom: -7.42

---

# 10
A plane-wave DFT calculation with PBE was carried out for an optimized crystal structure of CeGdAl.

a = 5.195 Å, b = 5.195 Å, c = 3.052 Å
α = 90.00°, β = 90.00°, γ = 120.00°
Element x y z (fractional)
1 Ce 0.000 0.000 0.000
2 Gd 0.333 0.667 0.000
3 Al 0.667 0.333 0.500

Distance to the lowest polymorph of the same formula in eV per atom: 0.097
Formation energy from the elements in meV/atom: -67
Total magnetic moment in μB per formula unit: 6.71
Calculated total energy in eV per atom: -7.99

---

# 11
A plane-wave DFT calculation with PBE was carried out for an optimized crystal structure of CeGdAl2.

a = 5.165 Å, b = 5.165 Å, c = 5.165 Å
α = 60.00°, β = 60.00°, γ = 60.00°
Element x y z (fractional)
1 Ce 0.000 0.000 0.000
2 Gd 0.500 0.500 0.500
3 Al 0.250 0.250 0.250
4 Al 0.750 0.750 0.750

Distance to the lowest polymorph of the same formula in eV per atom: 0.004
Formation energy from the elements in meV/atom: -323
Total magnetic moment in μB per formula unit: 7.77
Calculated total energy in eV per atom: -7.20

---

# 12
A plane-wave DFT calculation with PBE was carried out for an optimized crystal structure of CeGdAl2.

a = 3.604 Å, b = 3.604 Å, c = 7.507 Å
α = 90.00°, β = 90.00°, γ = 90.00°
Element x y z (fractional)
1 Ce 0.000 0.000 0.000
2 Gd 0.000 0.000 0.500
3 Al 0.500 0.500 0.258
4 Al 0.500 0.500 0.742

Distance to the lowest polymorph of the same formula in eV per atom: 0.000
Formation energy from the elements in meV/atom: -327
Total magnetic moment in μB per formula unit: 6.33
Calculated total energy in eV per atom: -7.20

---

- Which value of total magnetic moment does entry 8 give?
  9.44 μB per formula unit